Entry 1:
Here is an optimized crystal structure of Nb2AlSi from the Alexandria database. Energies are from GGA-PBEsol.

Formation energy without anion corrections (meV per atom): -5
Total moment (μB/f.u.): 0.00
Polymorph energy (0 for the lowest one) (eV per formula unit): 0.37
Calculated total energy (eV per cell): -126.00

Cell lengths 6.977, 6.977, 5.569 Å; angles 90.00, 90.00, 90.00 degrees
Space group I-42d (No. 122)
Symmetry-distinct sites (fractional):
Nb1 0.236 0.750 0.125 (multiplicity 8)
Al1 0.000 0.000 0.500 (multiplicity 4)
Si1 0.000 0.000 0.000 (multiplicity 4)

Entry 2:
Here is an optimized crystal structure of SrCaPt2 from the Alexandria database. Energies are from GGA-PBEsol.

Calculated formation energy (meV/atom): -547
Total moment (μB/f.u.): 0.00
Polymorph energy (0 for the lowest one) (eV per formula unit): 0.51
Calculated total energy (eV per cell): -40.18

Cell lengths 4.209, 4.209, 9.665 Å; angles 90.00, 90.00, 90.00 degrees
Space group I-4m2 (No. 119)
Symmetry-distinct sites (fractional):
Sr1 0.000 0.000 0.000 (multiplicity 2)
Ca1 0.000 0.500 0.250 (multiplicity 2)
Pt1 0.000 0.000 0.500 (multiplicity 2)
Pt2 0.000 0.500 0.750 (multiplicity 2)

Entry 3:
Here is an optimized crystal structure of Ag4Pt3 from the Alexandria database. Energies are from GGA-PBEsol.

Calculated formation energy (meV/atom): 13
Total moment (μB/f.u.): 0.00
Polymorph energy (0 for the lowest one) (eV per formula unit): 0.15
Calculated total energy (eV per cell): -68.10

Cell lengths 9.361, 2.779, 8.512 Å; angles 90.00, 96.01, 90.00 degrees
Space group Cm (No. 8)
Symmetry-distinct sites (fractional):
Ag1 0.000 0.000 0.000 (multiplicity 2)
Ag2 0.065 0.500 0.293 (multiplicity 2)
Ag3 0.282 0.000 0.142 (multiplicity 2)
Ag4 0.430 0.000 0.713 (multiplicity 2)
Pt1 0.146 0.000 0.577 (multiplicity 2)
Pt2 0.214 0.500 0.854 (multiplicity 2)
Pt3 0.350 0.500 0.430 (multiplicity 2)

Entry 4:
Here is an optimized crystal structure of InSe from the Alexandria database. Energies are from GGA-PBEsol.

Formation energy without anion corrections (meV per atom): -482
Total moment (μB/f.u.): 0.00
Calculated total energy (eV per cell): -31.19

Cell lengths 4.0022, 4.0022, 16.7314 Å; angles 90.00, 90.00, 120.00 degrees
Space group P-6m2 (No. 187)
Symmetry-distinct sites (fractional):
In1 0.0000 0.0000 0.0828 (multiplicity 2)
In2 0.3333 0.6667 0.4172 (multiplicity 2)
Se1 0.0000 0.0000 0.3405 (multiplicity 2)
Se2 0.6667 0.3333 0.1595 (multiplicity 2)